Record 1
DFT (PBE) results for an optimized crystal structure of AlPd3Se.

Lattice parameters (Å, degrees): 4.592 4.592 4.592 90.00 90.00 90.00
Fractional coordinates of all 5 atoms:
Al  0.000  0.000  0.000
Se  0.500  0.500  0.500
Pd  0.500  0.000  0.000
Pd  0.000  0.000  0.500
Pd  0.000  0.500  0.000

Properties
As for the density of states at the Fermi level: 3.25 states/eV/cell. The calculation puts the energy relative to the elements, uncorrected at 0.19 eV per atom. The total magnetic moment comes out at 0.00 μB per formula unit.

***

Record 2
DFT (PBE) results for an optimized crystal structure of AlPdSe.

Lattice parameters (Å, degrees): 4.225 4.750 5.700 89.99 76.94 90.01
Fractional coordinates of all 6 atoms:
Al  0.103  0.810  0.110
Al  0.903  0.310  0.894
Se  0.237  0.620  0.595
Pd  0.334  0.326  0.165
Se  0.769  0.120  0.409
Pd  0.672  0.825  0.839

Properties
As for the density of states at the Fermi level: 1.93 states/eV/cell. The calculation puts the energy relative to the elements, uncorrected at -0.43 eV per atom. The total magnetic moment comes out at 0.00 μB per formula unit.